(1)
DFT (PBE) results for crystalline NaCeDy2Se4 at its relaxed geometry.

Properties
formation energy from raw total energies: -1737 meV/atom
total moment: 0.158 μB/atom

Lattice parameters (Å, degrees): 4.110 7.239 7.175 71.00 90.00 90.00
Last column: magnetic moment on the atom in μB.
Fractional coordinates of all 8 atoms:
Na 0.000 0.500 0.500  0.00
Ce 0.500 0.500 0.000  0.97
Dy 0.000 0.000 0.000  0.07
Dy 0.500 0.000 0.500  0.01
Se 0.000 0.759 0.743  -0.01
Se 0.000 0.241 0.257  -0.01
Se 0.500 0.761 0.248  0.00
Se 0.500 0.239 0.752  0.00

***

(2)
DFT (PBE) results for crystalline Na4CeDy3Se8 at its relaxed geometry.

Properties
formation energy from raw total energies: -1681 meV/atom
total moment: 0.063 μB/atom

Lattice parameters (Å, degrees): 8.371 8.499 8.371 119.51 120.00 90.00
Last column: magnetic moment on the atom in μB.
Fractional coordinates of all 16 atoms:
Na 0.500 0.000 0.000  0.00
Na 0.500 0.000 0.500  0.00
Na 0.000 0.000 0.000  0.00
Na 0.000 0.000 0.500  0.00
Ce 0.000 0.500 0.000  0.93
Dy 0.500 0.500 0.000  0.01
Dy 0.500 0.500 0.500  0.01
Dy 0.000 0.500 0.500  0.01
Se 0.248 0.732 0.984  -0.01
Se 0.248 0.732 0.495  -0.01
Se 0.257 0.271 0.514  0.00
Se 0.737 0.732 0.984  -0.01
Se 0.263 0.268 0.016  -0.01
Se 0.743 0.729 0.486  0.00
Se 0.752 0.268 0.505  -0.01
Se 0.752 0.268 0.016  -0.01

***

(3)
DFT (PBE) results for crystalline NaCe3Dy2Se6 at its relaxed geometry.

Properties
formation energy from raw total energies: -1739 meV/atom
total moment: 0.286 μB/atom

Lattice parameters (Å, degrees): 4.143 8.365 9.324 103.11 102.84 90.00
Last column: magnetic moment on the atom in μB.
Fractional coordinates of all 12 atoms:
Na 0.500 0.000 0.000  0.00
Ce 0.500 0.500 0.000  0.90
Ce 0.835 0.167 0.671  0.96
Ce 0.165 0.833 0.329  0.96
Dy 0.832 0.662 0.664  0.01
Dy 0.168 0.338 0.336  0.01
Se 0.334 0.907 0.668  -0.01
Se 0.668 0.579 0.337  -0.01
Se 0.666 0.093 0.332  -0.01
Se 0.004 0.249 0.009  -0.01
Se 0.996 0.751 0.991  -0.01
Se 0.332 0.421 0.663  -0.01

***

(4)
DFT (PBE) results for crystalline NaCeDy4Se8 at its relaxed geometry.

Properties
formation energy from raw total energies: -1742 meV/atom
total moment: 0.072 μB/atom

Lattice parameters (Å, degrees): 8.458 8.458 8.572 60.44 60.44 60.00
Last column: magnetic moment on the atom in μB.
Fractional coordinates of all 14 atoms:
Na 0.373 0.373 0.880  0.00
Ce 0.004 0.004 0.989  0.94
Dy 0.626 0.626 0.121  0.00
Dy 0.005 0.486 0.504  0.01
Dy 0.486 0.005 0.504  0.01
Dy 0.005 0.005 0.504  0.01
Se 0.245 0.779 0.731  -0.01
Se 0.779 0.245 0.731  -0.01
Se 0.245 0.245 0.731  -0.01
Se 0.240 0.240 0.281  0.00
Se 0.752 0.229 0.266  0.00
Se 0.229 0.752 0.266  0.00
Se 0.752 0.752 0.266  0.00
Se 0.759 0.759 0.724  0.00

***

(5)
DFT (PBE) results for crystalline Na4CeDy3Te8 at its relaxed geometry.

Properties
formation energy from raw total energies: -1297 meV/atom
total moment: 0.063 μB/atom

Lattice parameters (Å, degrees): 8.926 9.145 8.926 119.23 120.00 90.00
Last column: magnetic moment on the atom in μB.
Fractional coordinates of all 16 atoms:
Na 0.500 0.000 0.000  0.00
Na 0.500 0.000 0.500  0.00
Na 0.000 0.000 0.000  0.00
Na 0.000 0.000 0.500  0.00
Ce 0.000 0.500 0.000  0.96
Dy 0.500 0.500 0.000  0.01
Dy 0.500 0.500 0.500  0.01
Dy 0.000 0.500 0.500  0.01
Te 0.249 0.735 0.986  -0.01
Te 0.249 0.735 0.498  -0.01
Te 0.256 0.269 0.512  0.00
Te 0.738 0.735 0.986  -0.01
Te 0.262 0.265 0.014  -0.01
Te 0.744 0.731 0.488  0.00
Te 0.751 0.265 0.502  -0.01
Te 0.751 0.265 0.014  -0.01

***

(6)
DFT (PBE) results for crystalline Na3Ce2DyTe6 at its relaxed geometry.

Properties
formation energy from raw total energies: -1275 meV/atom
total moment: 0.168 μB/atom

Lattice parameters (Å, degrees): 7.848 7.848 7.963 99.46 99.46 120.00
Last column: magnetic moment on the atom in μB.
Fractional coordinates of all 12 atoms:
Na 0.168 0.832 0.500  0.00
Na 0.832 0.168 0.500  0.00
Na 0.500 0.500 0.500  0.00
Ce 0.334 0.666 0.000  0.98
Ce 0.666 0.334 0.000  0.98
Dy 0.000 0.000 0.000  0.01
Te 0.921 0.596 0.763  -0.01
Te 0.754 0.754 0.237  -0.01
Te 0.079 0.404 0.237  -0.01
Te 0.596 0.921 0.763  -0.01
Te 0.246 0.246 0.763  -0.01
Te 0.404 0.079 0.237  -0.01

***

(7)
DFT (PBE) results for crystalline CeDy2Nb at its relaxed geometry.

Properties
formation enthalpy at 0 K: 0.35 eV/atom
total moment: 0.082 μB/atom

Lattice parameters (Å, degrees): 5.289 5.289 5.288 59.99 59.99 60.00
Last column: magnetic moment on the atom in μB.
Fractional coordinates of all 4 atoms:
Nb 0.000 0.000 0.000  -0.04
Ce 0.500 0.500 0.500  0.24
Dy 0.250 0.250 0.250  0.03
Dy 0.750 0.750 0.750  0.03

***

(8)
DFT (PBE) results for crystalline CeDyNb at its relaxed geometry.

Properties
formation enthalpy at 0 K: 0.38 eV/atom
total moment: 0.000 μB/atom

Lattice parameters (Å, degrees): 4.727 4.727 7.422 90.00 90.00 90.00
Fractional coordinates of all 6 atoms:
Dy 0.000 0.500 0.811
Dy 0.500 0.000 0.189
Ce 0.000 0.500 0.297
Ce 0.500 0.000 0.703
Nb 0.500 0.500 0.500
Nb 0.000 0.000 0.500

***

(9)
DFT (PBE) results for crystalline CeNd5Dy12 at its relaxed geometry.

Properties
formation enthalpy at 0 K: 0.11 eV/atom
total moment: 0.060 μB/atom

Lattice parameters (Å, degrees): 11.435 10.382 5.970 89.93 89.87 56.58
Last column: magnetic moment on the atom in μB.
Fractional coordinates of all 18 atoms:
Ce 0.000 0.000 0.000  0.77
Nd 0.500 0.000 0.500  0.00
Nd 0.166 0.669 0.500  -0.01
Nd 0.834 0.331 0.500  -0.01
Nd 0.664 0.671 0.000  -0.01
Nd 0.336 0.329 0.000  -0.01
Dy 0.823 0.000 0.439  0.03
Dy 0.177 0.000 0.561  0.03
Dy 0.682 0.000 0.940  0.03
Dy 0.318 0.000 0.060  0.03
Dy 0.342 0.667 0.950  0.01
Dy 0.991 0.667 0.050  0.01
Dy 0.009 0.333 0.950  0.01
Dy 0.658 0.333 0.050  0.01
Dy 0.511 0.333 0.551  0.00
Dy 0.844 0.667 0.551  0.00
Dy 0.156 0.333 0.449  0.00
Dy 0.489 0.667 0.449  0.00

***

(10)
DFT (PBE) results for crystalline CeNd5Dy at its relaxed geometry.

Properties
formation enthalpy at 0 K: 0.88 eV/atom
total moment: 0.000 μB/atom

Lattice parameters (Å, degrees): 5.790 7.924 7.924 66.48 68.55 68.55
Fractional coordinates of all 7 atoms:
Ce 0.000 0.000 0.000
Nd 0.756 0.244 0.244
Nd 0.000 0.317 0.683
Nd 0.500 0.000 0.000
Nd 0.000 0.683 0.317
Nd 0.244 0.756 0.756
Dy 0.500 0.500 0.500

***

(11)
DFT (PBE) results for crystalline CeNd4Dy4 at its relaxed geometry.

Properties
formation enthalpy at 0 K: 0.04 eV/atom
total moment: 0.088 μB/atom

Lattice parameters (Å, degrees): 5.098 8.059 8.059 84.26 71.56 71.56
Last column: magnetic moment on the atom in μB.
Fractional coordinates of all 9 atoms:
Ce 0.000 0.000 0.000  0.74
Nd 0.335 0.330 0.000  0.00
Nd 0.665 0.670 0.000  0.00
Nd 0.665 0.000 0.670  0.00
Nd 0.335 0.000 0.330  0.00
Dy 0.000 0.666 0.334  -0.03
Dy 0.000 0.334 0.666  -0.03
Dy 0.666 0.334 0.334  -0.03
Dy 0.334 0.666 0.666  -0.03

***

(12)
DFT (PBE) results for crystalline CeNd2Dy12 at its relaxed geometry.

Properties
formation enthalpy at 0 K: 0.12 eV/atom
total moment: 0.046 μB/atom

Lattice parameters (Å, degrees): 6.653 6.653 24.881 83.48 96.52 64.35
Last column: magnetic moment on the atom in μB.
Fractional coordinates of all 30 atoms:
Ce 0.444 0.056 0.000  -0.53
Ce 0.056 0.444 0.000  -0.53
Nd 0.451 0.049 0.272  0.00
Nd 0.954 0.546 0.270  0.00
Nd 0.049 0.451 0.728  0.00
Nd 0.546 0.954 0.730  0.00
Dy 0.602 0.398 0.801  0.01
Dy 0.102 0.898 0.801  0.01
Dy 0.906 0.594 0.866  -0.02
Dy 0.452 0.559 0.928  -0.02
Dy 0.995 0.001 0.330  0.00
Dy 0.048 0.941 0.072  -0.02
Dy 0.670 0.335 0.555  0.00
Dy 0.499 0.505 0.330  0.00
Dy 0.397 0.103 0.867  -0.02
Dy 0.594 0.906 0.134  -0.02
Dy 0.184 0.316 0.574  0.00
Dy 0.830 0.165 0.445  0.00
Dy 0.001 0.995 0.670  0.00
Dy 0.316 0.184 0.426  0.00
Dy 0.103 0.397 0.133  -0.02
Dy 0.824 0.676 0.429  0.00
Dy 0.676 0.824 0.571  0.00
Dy 0.898 0.102 0.199  0.01
Dy 0.165 0.830 0.555  0.00
Dy 0.505 0.499 0.670  0.00
Dy 0.941 0.048 0.928  -0.02
Dy 0.398 0.602 0.199  0.01
Dy 0.335 0.670 0.445  0.00
Dy 0.559 0.452 0.072  -0.02

***

(13)
DFT (PBE) results for crystalline CeNd8Dy6 at its relaxed geometry.

Properties
formation enthalpy at 0 K: 0.13 eV/atom
total moment: 0.066 μB/atom

Lattice parameters (Å, degrees): 8.752 8.752 8.752 62.97 62.97 62.97
Last column: magnetic moment on the atom in μB.
Fractional coordinates of all 15 atoms:
Ce 0.000 0.000 0.000  0.57
Nd 0.115 0.715 0.758  0.01
Nd 0.242 0.885 0.285  0.01
Nd 0.285 0.242 0.885  0.01
Nd 0.578 0.578 0.578  -0.01
Nd 0.422 0.422 0.422  -0.01
Nd 0.715 0.758 0.115  0.01
Nd 0.758 0.115 0.715  0.01
Nd 0.885 0.285 0.242  0.01
Dy 0.903 0.462 0.754  0.02
Dy 0.246 0.097 0.538  0.02
Dy 0.538 0.246 0.097  0.02
Dy 0.462 0.754 0.903  0.02
Dy 0.754 0.903 0.462  0.02
Dy 0.097 0.538 0.246  0.02

***

(14)
DFT (PBE) results for crystalline CeNd3Dy6 at its relaxed geometry.

Properties
formation enthalpy at 0 K: 0.31 eV/atom
total moment: 0.119 μB/atom

Lattice parameters (Å, degrees): 8.668 8.945 6.282 97.59 133.62 90.00
Last column: magnetic moment on the atom in μB.
Fractional coordinates of all 10 atoms:
Ce 0.500 0.500 0.000  0.63
Nd 0.780 0.268 0.560  0.01
Nd 0.220 0.732 0.440  0.01
Nd 0.000 0.000 0.000  -0.02
Dy 0.302 0.355 0.241  0.04
Dy 0.061 0.645 0.759  0.04
Dy 0.698 0.645 0.759  0.04
Dy 0.939 0.355 0.241  0.04
Dy 0.382 0.131 0.764  0.07
Dy 0.618 0.869 0.236  0.07

***

(15)
DFT (PBE) results for crystalline CeNd6Dy4 at its relaxed geometry.

Properties
formation enthalpy at 0 K: 0.14 eV/atom
total moment: 0.087 μB/atom

Lattice parameters (Å, degrees): 5.894 5.667 26.003 90.00 90.00 121.34
Last column: magnetic moment on the atom in μB.
Fractional coordinates of all 22 atoms:
Ce 0.784 0.568 0.250  0.76
Ce 0.216 0.432 0.750  0.76
Nd 0.500 0.000 0.000  -0.01
Nd 0.500 0.000 0.500  -0.01
Nd 0.116 0.231 0.319  0.00
Nd 0.884 0.769 0.681  0.00
Nd 0.884 0.769 0.819  0.00
Nd 0.116 0.231 0.181  0.00
Nd 0.796 0.591 0.400  0.01
Nd 0.204 0.409 0.600  0.01
Nd 0.204 0.409 0.900  0.01
Nd 0.796 0.591 0.100  0.01
Nd 0.445 0.890 0.250  0.03
Nd 0.555 0.110 0.750  0.03
Dy 0.851 0.702 0.543  -0.01
Dy 0.450 0.901 0.124  0.01
Dy 0.149 0.298 0.457  -0.01
Dy 0.550 0.099 0.876  0.01
Dy 0.851 0.702 0.957  -0.01
Dy 0.149 0.298 0.043  -0.01
Dy 0.550 0.099 0.624  0.01
Dy 0.450 0.901 0.376  0.01

***

(16)
DFT (PBE) results for crystalline CeNd6Dy2 at its relaxed geometry.

Properties
formation enthalpy at 0 K: 0.08 eV/atom
total moment: 0.101 μB/atom

Lattice parameters (Å, degrees): 3.628 3.628 27.129 90.00 90.00 120.00
Last column: magnetic moment on the atom in μB.
Fractional coordinates of all 9 atoms:
Ce 0.000 0.000 0.000  0.71
Nd 0.333 0.667 0.892  0.00
Nd 0.000 0.000 0.434  0.00
Nd 0.000 0.000 0.779  0.00
Nd 0.000 0.000 0.221  0.00
Nd 0.000 0.000 0.566  0.00
Nd 0.333 0.667 0.108  0.00
Dy 0.333 0.667 0.329  0.00
Dy 0.333 0.667 0.671  0.00

***

(17)
DFT (PBE) results for crystalline CeNd5Dy4 at its relaxed geometry.

Properties
formation enthalpy at 0 K: 0.10 eV/atom
total moment: 0.044 μB/atom

Lattice parameters (Å, degrees): 3.521 11.043 9.172 73.59 101.06 90.00
Last column: magnetic moment on the atom in μB.
Fractional coordinates of all 10 atoms:
Ce 0.500 0.000 0.000  0.42
Nd 0.795 0.602 0.589  -0.01
Nd 0.896 0.283 0.792  -0.01
Nd 0.104 0.717 0.208  -0.01
Nd 0.500 0.500 0.000  0.00
Nd 0.205 0.398 0.411  -0.01
Dy 0.305 0.080 0.609  -0.01
Dy 0.906 0.813 0.813  0.00
Dy 0.695 0.920 0.391  -0.01
Dy 0.094 0.187 0.187  0.00

***

(18)
DFT (PBE) results for crystalline Ce2NdDy at its relaxed geometry.

Properties
formation enthalpy at 0 K: 0.11 eV/atom
total moment: 0.407 μB/atom

Lattice parameters (Å, degrees): 5.122 4.931 4.931 90.00 90.00 90.00
Last column: magnetic moment on the atom in μB.
Fractional coordinates of all 4 atoms:
Nd 0.500 0.500 0.500  0.01
Ce 0.000 0.000 0.500  0.64
Ce 0.000 0.500 0.000  0.64
Dy 0.500 0.000 0.000  0.03

***

(19)
DFT (PBE) results for crystalline CeNdDy at its relaxed geometry.

Properties
formation enthalpy at 0 K: 0.07 eV/atom
total moment: 0.183 μB/atom

Lattice parameters (Å, degrees): 3.551 3.551 8.741 90.00 90.00 120.00
Last column: magnetic moment on the atom in μB.
Fractional coordinates of all 3 atoms:
Nd 0.000 0.000 0.995  -0.01
Ce 0.333 0.667 0.664  0.46
Dy 0.667 0.333 0.342  0.00

***

(20)
DFT (PBE) results for crystalline CeNd3Dy3 at its relaxed geometry.

Properties
formation enthalpy at 0 K: 0.21 eV/atom
total moment: 0.185 μB/atom

Lattice parameters (Å, degrees): 8.166 8.166 7.216 90.00 90.00 89.53
Last column: magnetic moment on the atom in μB.
Fractional coordinates of all 14 atoms:
Ce 0.293 0.293 0.999  0.85
Ce 0.707 0.707 0.001  0.85
Nd 0.999 0.999 0.750  0.01
Nd 0.499 0.001 0.246  0.03
Nd 0.001 0.499 0.246  0.03
Nd 0.501 0.999 0.754  0.03
Nd 0.999 0.501 0.754  0.03
Nd 0.001 0.001 0.250  0.01
Dy 0.281 0.281 0.501  0.03
Dy 0.293 0.707 0.500  0.00
Dy 0.707 0.293 0.500  0.00
Dy 0.281 0.719 0.000  0.06
Dy 0.719 0.281 0.000  0.06
Dy 0.719 0.719 0.499  0.03